[1]
This record from the Alexandria database describes a geometry-optimized Rb2BaCoSe structure. The functional is PBE.

Unit cell a=6.8914 b=6.8914 c=4.4275 alpha=90.00 beta=90.00 gamma=90.00
With the nearest neighbours (Å) after each atom.
Fractional coordinates of all 5 atoms:
Rb 0.0000 0.5000 0.0000  2 Se 3.45
Rb 0.5000 0.0000 0.0000  2 Se 3.45
Ba 0.0000 0.0000 0.5000  8 Rb 4.10, 2 Ba 4.43
Co 0.5000 0.5000 0.5000  2 Se 2.21
Se 0.5000 0.5000 0.0000  2 Co 2.21

Properties
E, eV per atom: -2.7461
Crystal system: tetragonal
Space group: P4/mmm (123)

---

[2]
This record from the Alexandria database describes a geometry-optimized HfZr2Al structure. The functional is PBE.

Unit cell a=10.0341 b=10.0341 c=10.0341 alpha=18.28 beta=18.28 gamma=18.28
With the nearest neighbours (Å) after each atom.
Fractional coordinates of all 4 atoms:
Hf 0.0000 0.0000 0.0000  6 Zr 3.12-3.14, 6 Hf 3.19
Zr 0.5813 0.5813 0.5813  3 Al 3.03, 3 Hf 3.12, 6 Zr 3.19
Zr 0.7528 0.7528 0.7528  3 Al 3.01, 3 Hf 3.14, 6 Zr 3.19
Al 0.1668 0.1668 0.1668  6 Zr 3.01-3.03, 6 Al 3.19

Properties
E, eV per atom: -7.7850
Crystal system: trigonal
Space group: R3m (160)
Formation enthalpy at 0 K, eV per atom: -0.0870

---

Question: Number 1 is which compound?
Answer: Rb2BaCoSe

---

Question: The highest E belongs to which entry?
Answer: Rb2BaCoSe